Run i
A relaxed structure of CdAg6Au, computed with PBE-GGA.

Cell and atoms, written as POSCAR:
```
CdAg6Au
1.0
6.005 0.000 0.000
0.000 6.005 0.000
0.000 0.000 4.046
Cd Ag Au
1 6 1
direct
0.000 0.000 0.000 Cd
0.000 0.500 0.000 Ag
0.252 0.252 0.500 Ag
0.252 0.748 0.500 Ag
0.500 0.000 0.000 Ag
0.748 0.252 0.500 Ag
0.748 0.748 0.500 Ag
0.500 0.500 0.000 Au
```

Fermi-level density of states (states/eV per cell): 2.72

=====

Run ii
A relaxed structure of CdAg6Au, computed with PBE-GGA.

Cell and atoms, written as POSCAR:
```
CdAg6Au
1.0
4.811 0.000 0.000
0.000 2.963 5.122
0.000 -2.963 5.122
Cd Ag Au
1 6 1
direct
0.000 0.000 0.000 Cd
0.000 0.500 0.999 Ag
0.000 0.501 0.501 Ag
0.000 0.999 0.500 Ag
0.500 0.336 0.832 Ag
0.500 0.831 0.831 Ag
0.500 0.832 0.336 Ag
0.500 0.333 0.333 Au
```

Fermi-level density of states (states/eV per cell): 3.64

=====

Result of the stability comparison: run i is the most stable of them.

=====

Run i
A relaxed structure of Cd2Ag2Au7, computed with PBE-GGA.

Cell and atoms, written as POSCAR:
```
Cd2Ag2Au7
1.0
-2.059 7.460 3.493
2.059 -7.460 3.493
2.059 7.460 -3.493
Cd Ag Au
2 2 7
direct
0.223 0.000 0.223 Cd
0.777 0.000 0.777 Cd
0.507 0.007 0.500 Ag
0.810 0.810 0.000 Ag
0.070 0.702 0.368 Au
0.208 0.208 0.000 Au
0.334 0.702 0.632 Au
0.360 0.502 0.858 Au
0.645 0.502 0.142 Au
0.660 0.295 0.365 Au
0.930 0.295 0.635 Au
```

Fermi-level density of states (states/eV per cell): 3.41

=====

Run ii
A relaxed structure of Cd2Ag2Au7, computed with PBE-GGA.

Cell and atoms, written as POSCAR:
```
Cd2Ag2Au7
1.0
4.933 -4.845 0.000
4.933 4.845 0.000
-2.201 0.000 4.499
Cd Ag Au
2 2 7
direct
0.215 0.785 0.000 Cd
0.785 0.215 0.000 Cd
0.252 0.252 0.055 Ag
0.748 0.748 0.945 Ag
0.000 0.000 0.500 Au
0.069 0.589 0.331 Au
0.411 0.931 0.669 Au
0.417 0.417 0.685 Au
0.583 0.583 0.315 Au
0.589 0.069 0.331 Au
0.931 0.411 0.669 Au
```

Fermi-level density of states (states/eV per cell): 3.39

=====

Result of the stability comparison: run i is the most stable of them.

=====

Run i
A relaxed structure of Cd3Ag5Au, computed with PBE-GGA.

Cell and atoms, written as POSCAR:
```
Cd3Ag5Au
1.0
-4.148 4.148 5.577
4.148 -4.148 5.577
4.148 4.148 -5.577
Cd Ag Au
6 10 2
direct
0.114 0.614 0.727 Cd
0.250 0.250 0.000 Cd
0.386 0.114 0.500 Cd
0.614 0.886 0.500 Cd
0.750 0.750 0.000 Cd
0.886 0.386 0.273 Cd
0.000 0.000 0.000 Ag
0.065 0.167 0.500 Ag
0.167 0.667 0.102 Ag
0.333 0.435 0.500 Ag
0.435 0.935 0.102 Ag
0.500 0.500 0.000 Ag
0.565 0.065 0.898 Ag
0.667 0.565 0.500 Ag
0.833 0.333 0.898 Ag
0.935 0.833 0.500 Ag
0.250 0.750 0.500 Au
0.750 0.250 0.500 Au
```

Fermi-level density of states (states/eV per cell): 4.37

=====

Run ii
A relaxed structure of Cd3Ag5Au, computed with PBE-GGA.

Cell and atoms, written as POSCAR:
```
Cd3Ag5Au
1.0
7.419 0.000 0.000
0.000 5.842 0.000
-1.924 0.000 7.893
Cd Ag Au
6 10 2
direct
0.001 0.000 0.001 Cd
0.012 0.749 0.669 Cd
0.369 0.748 0.227 Cd
0.631 0.248 0.773 Cd
0.988 0.249 0.331 Cd
0.999 0.500 0.999 Cd
0.011 0.249 0.685 Ag
0.313 0.498 0.530 Ag
0.313 0.999 0.530 Ag
0.329 0.498 0.885 Ag
0.330 0.998 0.884 Ag
0.670 0.498 0.116 Ag
0.671 0.998 0.115 Ag
0.687 0.499 0.470 Ag
0.687 0.998 0.470 Ag
0.989 0.749 0.315 Ag
0.365 0.248 0.222 Au
0.635 0.748 0.778 Au
```

Fermi-level density of states (states/eV per cell): 4.20

=====

Result of the stability comparison: run ii is the most stable of them.

=====

Run i
A relaxed structure of Cd4AgAu2, computed with PBE-GGA.

Cell and atoms, written as POSCAR:
```
Cd4AgAu2
1.0
7.374 0.000 0.000
0.000 5.951 0.000
-3.667 0.000 6.602
Cd Ag Au
8 2 4
direct
0.009 0.250 0.497 Cd
0.121 0.750 0.937 Cd
0.436 0.001 0.760 Cd
0.436 0.499 0.760 Cd
0.564 0.501 0.240 Cd
0.564 0.999 0.240 Cd
0.879 0.250 0.063 Cd
0.991 0.750 0.503 Cd
0.268 0.750 0.353 Ag
0.732 0.250 0.647 Ag
0.200 0.250 0.929 Au
0.301 0.250 0.361 Au
0.699 0.750 0.639 Au
0.800 0.750 0.071 Au
```

Fermi-level density of states (states/eV per cell): 3.00

=====

Run ii
A relaxed structure of Cd4AgAu2, computed with PBE-GGA.

Cell and atoms, written as POSCAR:
```
Cd4AgAu2
1.0
2.388 1.379 7.489
-2.388 1.379 7.489
0.000 -2.757 7.489
Cd Ag Au
4 1 2
direct
0.117 0.117 0.117 Cd
0.371 0.371 0.371 Cd
0.629 0.629 0.629 Cd
0.883 0.883 0.883 Cd
0.500 0.500 0.500 Ag
0.247 0.247 0.247 Au
0.753 0.753 0.753 Au
```

Fermi-level density of states (states/eV per cell): 2.81

=====

Result of the stability comparison: run ii is the most stable of them.

=====

Run i
A relaxed structure of CdAgAu5, computed with PBE-GGA.

Cell and atoms, written as POSCAR:
```
CdAgAu5
1.0
2.829 -4.317 0.000
2.829 4.317 0.000
0.000 0.000 5.729
Cd Ag Au
1 1 5
direct
0.000 0.000 0.000 Cd
0.500 0.500 0.500 Ag
0.000 0.000 0.500 Au
0.000 0.500 0.246 Au
0.000 0.500 0.754 Au
0.500 0.000 0.246 Au
0.500 0.000 0.754 Au
```

Fermi-level density of states (states/eV per cell): 2.02

=====

Run ii
A relaxed structure of CdAgAu5, computed with PBE-GGA.

Cell and atoms, written as POSCAR:
```
CdAgAu5
1.0
-3.765 4.762 2.671
3.765 -4.762 2.671
3.765 4.762 -2.671
Cd Ag Au
1 1 5
direct
0.000 0.000 0.000 Cd
0.787 0.287 0.500 Ag
0.296 0.615 0.318 Au
0.296 0.978 0.682 Au
0.367 0.634 0.733 Au
0.509 0.509 0.000 Au
0.901 0.634 0.267 Au
```

Fermi-level density of states (states/eV per cell): 3.38

=====

Result of the stability comparison: run i is the most stable of them.